(1)
Material: ReRh3Br
Method: DFT, PBE
State: optimized geometry

Computed properties:
Formation energy (no corrections)   1.66 eV per atom
Energy above the most stable polymorph in this dataset   400 meV/atom

Structure (CIF):
```
data_ReRh3Br
_chemical_formula_sum 'Re1 Rh3 Br1'
_cell_length_a 4.553
_cell_length_b 4.553
_cell_length_c 4.553
_cell_angle_alpha 90.00
_cell_angle_beta 90.00
_cell_angle_gamma 90.00
_symmetry_space_group_name_H-M 'P 1'
_symmetry_Int_Tables_number 1
_symmetry_space_group_name_Hall 'P 1'
loop_
_atom_site_label
_atom_site_type_symbol
_atom_site_fract_x
_atom_site_fract_y
_atom_site_fract_z
Re1 Re 0.000 0.000 0.000
Rh1 Rh 0.000 0.500 0.500
Rh2 Rh 0.500 0.000 0.500
Rh3 Rh 0.500 0.500 0.000
Br1 Br 0.500 0.500 0.500
```

(2)
Material: Ca4SnP3Pd12
Method: DFT, PBE
State: optimized geometry

Computed properties:
Formation enthalpy at 0 K   -0.553 eV per atom

Structure (CIF):
```
data_Ca4SnP3Pd12
_chemical_formula_sum 'Ca4 Sn1 P3 Pd12'
_cell_length_a 8.117
_cell_length_b 8.117
_cell_length_c 8.117
_cell_angle_alpha 109.47
_cell_angle_beta 109.47
_cell_angle_gamma 109.47
_symmetry_space_group_name_H-M 'P 1'
_symmetry_Int_Tables_number 1
_symmetry_space_group_name_Hall 'P 1'
loop_
_atom_site_label
_atom_site_type_symbol
_atom_site_fract_x
_atom_site_fract_y
_atom_site_fract_z
Ca1 Ca 0.000 0.000 0.500
Ca2 Ca 0.000 0.500 0.000
Ca3 Ca 0.500 0.000 0.000
Ca4 Ca 0.500 0.500 0.500
Sn1 Sn 0.000 0.000 0.000
P1 P 0.000 0.500 0.500
P2 P 0.500 0.000 0.500
P3 P 0.500 0.500 0.000
Pd1 Pd 0.000 0.267 0.267
Pd2 Pd 0.000 0.733 0.733
Pd3 Pd 0.250 0.500 0.750
Pd4 Pd 0.250 0.750 0.500
Pd5 Pd 0.267 0.000 0.267
Pd6 Pd 0.267 0.267 0.000
Pd7 Pd 0.500 0.250 0.750
Pd8 Pd 0.500 0.750 0.250
Pd9 Pd 0.733 0.000 0.733
Pd10 Pd 0.733 0.733 0.000
Pd11 Pd 0.750 0.250 0.500
Pd12 Pd 0.750 0.500 0.250
```

E values (in eV per atom) by entry order: -5.576, -5.081.